1.
Compound: LaTlFe2
Source: the Alexandria database
Functional: PBE
Structure: relaxed

The structure in POSCAR format:
```
LaTlFe2
1.0
-1.8838 -2.9955 -1.1962
2.9664 -0.6327 -3.0870
4.1548 -3.2622 1.6261
Fe Tl La
2 1 1
Direct
0.5000 0.0607 0.2540
0.0000 0.1914 0.9919
0.5000 0.7688 0.8371
0.0000 0.4791 0.4170
```

Properties
volume	20.55	Å³/atom
magnetization	3.87	μB/f.u.
offset from the most stable computed form	3	meV/atom
energy	-23.51	eV per formula unit
space group	No. 38
energy of formation from the pure elements	0.178	eV per atom



2.
Compound: NiHgAu
Source: the Alexandria database
Functional: PBE
Structure: relaxed

The structure in POSCAR format:
```
NiHgAu
1.0
-1.6634 -2.1524 -3.5298
4.3706 -0.1649 0.8539
-0.4158 -2.4071 1.6638
Ni Hg Au
1 1 1
Direct
0.6667 0.3333 0.6700
0.3333 0.6667 0.3779
0.0000 0.0000 0.9521
```

Properties
volume	16.94	Å³/atom
magnetization	0.00	μB/f.u.
offset from the most stable computed form	97	meV/atom
energy	-8.67	eV per formula unit
space group	No. 156
energy of formation from the pure elements	0.231	eV per atom



3.
Compound: InRe4Tc
Source: the Alexandria database
Functional: PBE
Structure: relaxed

The structure in POSCAR format:
```
InRe4Tc
1.0
0.4638 -4.1339 -3.1234
0.3253 -4.7754 2.0370
-3.9665 -3.3252 -0.5198
In Tc Re
1 1 4
Direct
0.0000 0.0000 0.0000
0.7500 0.7500 0.7500
0.3743 0.3743 0.8771
0.3743 0.3743 0.3743
0.8771 0.3743 0.3743
0.3743 0.8771 0.3743
```

Properties
volume	16.59	Å³/atom
magnetization	0.00	μB/f.u.
energy	-59.97	eV per formula unit
space group	No. 216
energy of formation from the pure elements	0.487	eV per atom



4.
Compound: Ho2ScPb
Source: the Alexandria database
Functional: PBE
Structure: relaxed

The structure in POSCAR format:
```
Ho2ScPb
1.0
-3.7185 1.1711 2.7683
1.4583 -3.0841 3.2635
2.5849 3.3823 2.0413
Ho Pb Sc
2 1 1
Direct
0.0000 0.0000 0.5000
0.0000 0.5000 0.0000
0.5000 0.5000 0.5000
0.5000 0.0000 0.0000
```

Properties
volume	26.64	Å³/atom
magnetization	0.02	μB/f.u.
offset from the most stable computed form	0	meV/atom
energy	-20.21	eV per formula unit
space group	No. 123
energy of formation from the pure elements	-0.254	eV per atom



5.
Compound: Mo2PdPt3
Source: the Alexandria database
Functional: PBE
Structure: relaxed

The structure in POSCAR format:
```
Mo2PdPt3
1.0
-4.1353 -2.6075 1.7960
-3.4441 -1.8094 -3.4626
7.7975 -4.4844 0.3444
Mo Pd Pt
4 2 6
Direct
0.2482 0.7518 0.0000
0.7518 0.2482 0.0000
0.2500 0.7500 0.5000
0.7500 0.2500 0.5000
0.3423 0.3423 0.6845
0.6577 0.6577 0.3155
0.1772 0.1772 0.3545
0.8425 0.8425 0.1671
0.3246 0.3246 0.1671
0.6754 0.6754 0.8329
0.1575 0.1575 0.8329
0.8228 0.8228 0.6455
```

Properties
volume	15.60	Å³/atom
magnetization	0.00	μB/f.u.
energy	-45.88	eV per formula unit
space group	No. 69
energy of formation from the pure elements	-0.151	eV per atom



6.
Compound: Ac5Dy4Tl4
Source: the Alexandria database
Functional: PBE
Structure: relaxed

The structure in POSCAR format:
```
Ac5Dy4Tl4
1.0
-1.6651 -3.5699 -3.1750
4.4364 -8.3109 2.9868
-8.1555 -3.5860 4.2781
Ac Tl Dy
5 4 4
Direct
0.0000 0.0000 0.0000
0.3748 0.3268 0.9237
0.2985 0.0763 0.3268
0.7015 0.9237 0.6732
0.6252 0.6732 0.0763
0.0699 0.1794 0.6808
0.2493 0.6808 0.8206
0.7507 0.3192 0.1794
0.9301 0.8206 0.3192
0.0966 0.4872 0.3197
0.4163 0.6803 0.4872
0.5837 0.3197 0.5128
0.9034 0.5128 0.6803
```

Properties
volume	35.52	Å³/atom
magnetization	0.00	μB/f.u.
energy	-51.45	eV per formula unit
space group	No. 87
energy of formation from the pure elements	-0.233	eV per atom



7.
Compound: Fe2SiMoS
Source: the Alexandria database
Functional: PBE
Structure: relaxed

The structure in POSCAR format:
```
Fe2SiMoS
1.0
-0.0059 4.1177 1.8582
-4.7530 -0.2348 0.5053
0.5260 -1.8449 4.0900
S Si Mo Fe
1 1 1 2
Direct
0.5000 0.5000 0.5000
0.0000 0.5000 0.0000
0.0000 0.0000 0.0000
0.5000 0.0000 0.0000
0.0000 0.0000 0.5000
```

Properties
uncorrected formation energy	1438	meV/atom
volume	19.53	Å³/atom
magnetization	3.86	μB/f.u.
energy	-30.12	eV per formula unit
space group	No. 123



8.
Compound: KCeBr3
Source: the Alexandria database
Functional: PBE
Structure: relaxed

The structure in POSCAR format:
```
KCeBr3
1.0
4.1432 0.0003 -0.0006
2.0722 7.9821 -0.0444
0.0012 3.4027 11.0516
K Br Ce
2 6 2
Direct
0.8964 0.7758 0.8949
0.7919 0.9849 0.1642
0.2336 0.1017 0.9189
0.1850 0.1984 0.2958
0.7331 0.1027 0.6195
0.4546 0.6592 0.1402
0.9551 0.6579 0.4395
0.5032 0.5622 0.7633
0.1076 0.3536 0.6694
0.5806 0.4070 0.3896
```

Properties
uncorrected formation energy	-1653	meV/atom
volume	36.61	Å³/atom
magnetization	2.00	μB/f.u.
offset from the most stable computed form	0	meV/atom
energy	-20.31	eV per formula unit
space group	No. 12



9.
Compound: MnSbPb2
Source: the Alexandria database
Functional: PBE
Structure: relaxed

The structure in POSCAR format:
```
MnSbPb2
1.0
-6.8003 3.2070 -7.1043
-6.0673 0.0849 -8.3774
-8.4691 0.4272 -5.9238
Sb Pb Mn
1 2 1
Direct
0.4800 0.4800 0.4800
0.0165 0.0165 0.0165
0.2485 0.2485 0.2485
0.7551 0.7551 0.7551
```

Properties
uncorrected formation energy	223	meV/atom
volume	26.16	Å³/atom
magnetization	2.73	μB/f.u.
energy	-19.81	eV per formula unit
space group	No. 160



10.
Compound: Sb2W
Source: the Alexandria database
Functional: PBE
Structure: relaxed

The structure in POSCAR format:
```
Sb2W
1.0
-2.7592 -12.3193 -0.4111
-6.1549 -10.7482 2.4779
3.0489 11.9112 -2.8938
Sb W
4 2
Direct
0.5656 0.5656 0.0000
0.1844 0.6844 0.5000
0.4344 0.4344 0.0000
0.3156 0.8156 0.5000
0.7500 0.2500 0.5000
0.0000 0.0000 0.0000
```

Properties
uncorrected formation energy	407	meV/atom
volume	23.11	Å³/atom
magnetization	0.00	μB/f.u.
offset from the most stable computed form	129	meV/atom
energy	-19.98	eV per formula unit
space group	No. 141



11.
Compound: YSiAs2
Source: the Alexandria database
Functional: PBE
Structure: relaxed

The structure in POSCAR format:
```
YSiAs2
1.0
-0.6235 -0.6687 -5.2390
-5.1088 -1.2009 -0.8607
3.0032 3.9008 2.0120
Y As Si
1 2 1
Direct
0.7500 0.2500 0.5000
0.4592 0.4592 0.0000
0.0408 0.0408 0.0000
0.2500 0.7500 0.5000
```

Properties
uncorrected formation energy	-428	meV/atom
volume	19.94	Å³/atom
magnetization	0.00	μB/f.u.
energy	-22.90	eV per formula unit
space group	No. 71



12.
Compound: PdSCl
Source: the Alexandria database
Functional: PBE
Structure: relaxed

The structure in POSCAR format:
```
PdSCl
1.0
-0.5853 -6.5133 -10.6865
-5.5251 -4.9714 3.3326
-8.9877 3.2973 -1.5174
Cl Pd S
12 12 12
Direct
0.3910 0.3713 0.3145
0.8910 0.1773 0.0346
0.2500 0.6728 0.4336
0.6090 0.1773 0.0346
0.2500 0.1258 0.0834
0.6090 0.6287 0.6855
0.8910 0.6287 0.6855
0.3910 0.8227 0.9654
0.7500 0.8742 0.9166
0.1090 0.8227 0.9654
0.7500 0.3272 0.5664
0.1090 0.3713 0.3145
0.1322 0.4247 0.5424
0.6322 0.5753 0.4576
0.8678 0.5753 0.4576
0.3678 0.4247 0.5424
0.2500 0.1746 0.4440
0.1331 0.1376 0.8825
0.3669 0.1376 0.8825
0.7500 0.1135 0.2154
0.2500 0.8865 0.7846
0.7500 0.8254 0.5560
0.6331 0.8624 0.1175
0.8669 0.8624 0.1175
0.3351 0.4353 0.7739
0.8351 0.5647 0.2261
0.4594 0.1688 0.6689
0.9594 0.8312 0.3311
0.6263 0.0127 0.4031
0.8737 0.0127 0.4031
0.1263 0.9873 0.5969
0.1649 0.4353 0.7739
0.0406 0.1688 0.6689
0.6649 0.5647 0.2261
0.3737 0.9873 0.5969
0.5406 0.8312 0.3311
```

Properties
uncorrected formation energy	-376	meV/atom
volume	25.66	Å³/atom
magnetization	0.00	μB/f.u.
energy	-12.30	eV per formula unit
space group	No. 11



13.
Compound: LaTl2S
Source: the Alexandria database
Functional: PBE
Structure: relaxed

The structure in POSCAR format:
```
LaTl2S
1.0
9.1813 0.0000 0.0000
0.0000 9.1813 0.0000
4.5906 4.5906 2.8886
Tl La S
4 2 2
Direct
0.8750 0.8166 0.7500
0.1834 0.6250 0.2500
0.5666 0.1250 0.2500
0.3750 0.4334 0.7500
0.7500 0.2500 0.5000
0.0000 0.0000 0.0000
0.5000 0.5000 0.0000
0.2500 0.7500 0.5000
```

Properties
uncorrected formation energy	-473	meV/atom
volume	30.44	Å³/atom
magnetization	0.00	μB/f.u.
energy	-15.68	eV per formula unit
space group	No. 122